1.
{"formula": "TlCuPd3", "functional": "SCAN", "state": "single point on PBEsol structure", "magmom_total_mub_per_fu": 0.00, "final_energy_ev_per_atom": -35.9973, "n_ef_per_ev_fu": 1.09, "e_form_ev_per_atom": 1.179, "spacegroup": "Pm-3m, No. 221", "lattice": [[4.933, 0.000, 0.000], [0.000, 4.933, 0.000], [0.000, 0.000, 4.933]], "species": ["Tl", "Cu", "Pd", "Pd", "Pd"], "fractional_positions": [[0.000, 0.000, 0.000], [0.500, 0.500, 0.500], [0.000, 0.000, 0.500], [0.000, 0.500, 0.000], [0.500, 0.000, 0.000]]}

=====

2.
{"formula": "ZrTl2CuPd", "functional": "SCAN", "state": "single point on PBEsol structure", "magmom_total_mub_per_fu": 0.00, "final_energy_ev_per_atom": -44.2465, "n_ef_per_ev_fu": 2.52, "e_form_ev_per_atom": 0.431, "spacegroup": "P4/mmm, No. 123", "lattice": [[4.786, 0.000, 0.000], [0.000, 4.786, 0.000], [0.000, 0.000, 4.649]], "species": ["Zr", "Tl", "Tl", "Cu", "Pd"], "fractional_positions": [[0.000, 0.000, 0.000], [0.000, 0.500, 0.500], [0.500, 0.000, 0.500], [0.500, 0.500, 0.500], [0.500, 0.500, 0.000]]}

=====

3.
{"formula": "Tm2CuPd", "functional": "SCAN", "state": "single point on PBEsol structure", "magmom_total_mub_per_fu": 0.00, "final_energy_ev_per_atom": -38.6007, "n_ef_per_ev_fu": 2.50, "e_form_ev_per_atom": -0.691, "spacegroup": "Fm-3m, No. 225", "lattice": [[0.000, 3.385, 3.385], [3.385, 0.000, 3.385], [3.385, 3.385, 0.000]], "species": ["Tm", "Tm", "Cu", "Pd"], "fractional_positions": [[0.250, 0.250, 0.250], [0.750, 0.750, 0.750], [0.000, 0.000, 0.000], [0.500, 0.500, 0.500]]}

=====

4.
{"formula": "CuPdW3", "functional": "SCAN", "state": "single point on PBEsol structure", "magmom_total_mub_per_fu": 0.00, "final_energy_ev_per_atom": -49.4542, "n_ef_per_ev_fu": 8.03, "e_form_ev_per_atom": 1.953, "spacegroup": "Pm-3m, No. 221", "lattice": [[4.420, 0.000, 0.000], [0.000, 4.420, 0.000], [0.000, 0.000, 4.420]], "species": ["Cu", "Pd", "W", "W", "W"], "fractional_positions": [[0.000, 0.000, 0.000], [0.500, 0.500, 0.500], [0.000, 0.000, 0.500], [0.000, 0.500, 0.000], [0.500, 0.000, 0.000]]}

=====

5.
{"formula": "YCu3Pd", "functional": "SCAN", "state": "single point on PBEsol structure", "magmom_total_mub_per_fu": 0.00, "final_energy_ev_per_atom": -20.9447, "n_ef_per_ev_fu": 2.68, "e_form_ev_per_atom": 0.298, "spacegroup": "Pm-3m, No. 221", "lattice": [[4.578, 0.000, 0.000], [0.000, 4.578, 0.000], [0.000, 0.000, 4.578]], "species": ["Y", "Cu", "Cu", "Cu", "Pd"], "fractional_positions": [[0.000, 0.000, 0.000], [0.000, 0.500, 0.500], [0.500, 0.000, 0.500], [0.500, 0.500, 0.000], [0.500, 0.500, 0.500]]}

=====

6.
{"formula": "Zn3CuPd", "functional": "SCAN", "state": "single point on PBEsol structure", "magmom_total_mub_per_fu": 0.00, "final_energy_ev_per_atom": -17.2052, "n_ef_per_ev_fu": 2.09, "e_form_ev_per_atom": 0.499, "spacegroup": "Pm-3m, No. 221", "lattice": [[4.665, 0.000, 0.000], [0.000, 4.665, 0.000], [0.000, 0.000, 4.665]], "species": ["Zn", "Zn", "Zn", "Cu", "Pd"], "fractional_positions": [[0.000, 0.000, 0.500], [0.000, 0.500, 0.000], [0.500, 0.000, 0.000], [0.500, 0.500, 0.500], [0.000, 0.000, 0.000]]}

=====

7.
{"formula": "PmCu3", "functional": "SCAN", "state": "single point on PBEsol structure", "magmom_total_mub_per_fu": 0.00, "final_energy_ev_per_atom": -22.5283, "n_ef_per_ev_fu": 2.26, "e_form_ev_per_atom": -0.132, "spacegroup": "P6_3/mmc, No. 194", "lattice": [[6.058, 0.000, 0.000], [-3.029, 5.246, 0.000], [0.000, 0.000, 4.244]], "species": ["Pm", "Pm", "Cu", "Cu", "Cu", "Cu", "Cu", "Cu"], "fractional_positions": [[0.333, 0.667, 0.250], [0.667, 0.333, 0.750], [0.135, 0.270, 0.750], [0.135, 0.865, 0.750], [0.270, 0.135, 0.250], [0.730, 0.865, 0.750], [0.865, 0.135, 0.250], [0.865, 0.730, 0.250]]}

=====

8.
{"formula": "Pm2CuRh", "functional": "SCAN", "state": "single point on PBEsol structure", "magmom_total_mub_per_fu": 0.00, "final_energy_ev_per_atom": -34.7550, "n_ef_per_ev_fu": 2.50, "e_form_ev_per_atom": -0.519, "spacegroup": "Fm-3m, No. 225", "lattice": [[0.000, 3.476, 3.476], [3.476, 0.000, 3.476], [3.476, 3.476, 0.000]], "species": ["Pm", "Pm", "Cu", "Rh"], "fractional_positions": [[0.250, 0.250, 0.250], [0.750, 0.750, 0.750], [0.000, 0.000, 0.000], [0.500, 0.500, 0.500]]}

=====

9.
{"formula": "Pm2CuRu", "functional": "SCAN", "state": "single point on PBEsol structure", "magmom_total_mub_per_fu": 0.00, "final_energy_ev_per_atom": -34.7561, "n_ef_per_ev_fu": 1.98, "e_form_ev_per_atom": -0.257, "spacegroup": "Fm-3m, No. 225", "lattice": [[0.000, 3.461, 3.461], [3.461, 0.000, 3.461], [3.461, 3.461, 0.000]], "species": ["Pm", "Pm", "Cu", "Ru"], "fractional_positions": [[0.250, 0.250, 0.250], [0.750, 0.750, 0.750], [0.000, 0.000, 0.000], [0.500, 0.500, 0.500]]}

=====

10.
{"formula": "PmCu2Sn", "functional": "SCAN", "state": "single point on PBEsol structure", "magmom_total_mub_per_fu": 0.00, "final_energy_ev_per_atom": -27.9752, "n_ef_per_ev_fu": 0.94, "e_form_ev_per_atom": -0.399, "spacegroup": "Fm-3m, No. 225", "lattice": [[0.000, 3.311, 3.311], [3.311, 0.000, 3.311], [3.311, 3.311, 0.000]], "species": ["Pm", "Cu", "Cu", "Sn"], "fractional_positions": [[0.000, 0.000, 0.000], [0.250, 0.250, 0.250], [0.750, 0.750, 0.750], [0.500, 0.500, 0.500]]}

=====

11.
{"formula": "PmTmCu2", "functional": "SCAN", "state": "single point on PBEsol structure", "magmom_total_mub_per_fu": 0.00, "final_energy_ev_per_atom": -31.8194, "n_ef_per_ev_fu": 2.00, "e_form_ev_per_atom": -0.265, "spacegroup": "Fm-3m, No. 225", "lattice": [[0.000, 3.429, 3.429], [3.429, 0.000, 3.429], [3.429, 3.429, 0.000]], "species": ["Pm", "Tm", "Cu", "Cu"], "fractional_positions": [[0.000, 0.000, 0.000], [0.500, 0.500, 0.500], [0.250, 0.250, 0.250], [0.750, 0.750, 0.750]]}

=====

12.
{"formula": "PmYCu2", "functional": "SCAN", "state": "single point on PBEsol structure", "magmom_total_mub_per_fu": 0.00, "final_energy_ev_per_atom": -25.8062, "n_ef_per_ev_fu": 2.13, "e_form_ev_per_atom": -0.249, "spacegroup": "Fm-3m, No. 225", "lattice": [[0.000, 3.459, 3.459], [3.459, 0.000, 3.459], [3.459, 3.459, 0.000]], "species": ["Pm", "Y", "Cu", "Cu"], "fractional_positions": [[0.000, 0.000, 0.000], [0.500, 0.500, 0.500], [0.250, 0.250, 0.250], [0.750, 0.750, 0.750]]}

=====

13.
{"formula": "PmZnCu2", "functional": "SCAN", "state": "single point on PBEsol structure", "magmom_total_mub_per_fu": 0.00, "final_energy_ev_per_atom": -22.1252, "n_ef_per_ev_fu": 3.23, "e_form_ev_per_atom": -0.150, "spacegroup": "Fm-3m, No. 225", "lattice": [[0.000, 3.227, 3.227], [3.227, 0.000, 3.227], [3.227, 3.227, 0.000]], "species": ["Pm", "Zn", "Cu", "Cu"], "fractional_positions": [[0.000, 0.000, 0.000], [0.500, 0.500, 0.500], [0.250, 0.250, 0.250], [0.750, 0.750, 0.750]]}

=====

14.
{"formula": "PrCu5", "functional": "SCAN", "state": "single point on PBEsol structure", "magmom_total_mub_per_fu": 0.00, "final_energy_ev_per_atom": -20.0497, "n_ef_per_ev_fu": 3.08, "e_form_ev_per_atom": -0.163, "spacegroup": "P6/mmm, No. 191", "lattice": [[5.066, 0.000, 0.000], [-2.533, 4.387, 0.000], [0.000, 0.000, 4.006]], "species": ["Pr", "Cu", "Cu", "Cu", "Cu", "Cu"], "fractional_positions": [[0.000, 0.000, 0.000], [0.000, 0.500, 0.500], [0.333, 0.667, 0.000], [0.500, 0.000, 0.500], [0.500, 0.500, 0.500], [0.667, 0.333, 0.000]]}